Entry 1:
A relaxed NaCd3Os crystal. Source: Alexandria via LeMat-Bulk, functional PBE.

Formation energy, eV per atom: 1.60
Relative energy among the computed polymorphs, meV/atom: 1113
Symmetry: Pm-3m (221)

```
NaCd3Os
1.0
4.979 0.000 0.000
0.000 4.979 0.000
0.000 0.000 4.979
Cd Os Na
3 1 1
Cartesian
2.490 0.000 0.000 Cd
0.000 2.490 0.000 Cd
0.000 0.000 2.490 Cd
2.490 2.490 2.490 Os
0.000 0.000 0.000 Na
```

***

Entry 2:
A relaxed ZnRuPb crystal. Source: Alexandria via LeMat-Bulk, functional PBE.

Formation energy, eV per atom: 0.38
Symmetry: P-6m2 (187)

```
ZnRuPb
1.0
4.384 0.000 0.000
-2.192 3.796 0.000
0.000 0.000 3.346
Pb Zn Ru
1 1 1
Cartesian
0.000 0.000 3.346 Pb
0.000 2.531 1.672 Zn
2.192 1.265 1.674 Ru
```

***

Entry 3:
A relaxed Tl3InHg2 crystal. Source: Alexandria via LeMat-Bulk, functional PBE.

Formation energy, eV per atom: 0.02
Relative energy among the computed polymorphs, meV/atom: 14
Symmetry: Cmmm (65)

```
Tl3InHg2
1.0
-1.048 3.161 -6.686
-8.540 -1.332 0.709
6.137 5.855 1.806
Tl Hg In
6 4 2
Cartesian
3.176 6.129 -1.519 Tl
-1.693 3.746 -1.883 Tl
-6.562 1.361 -2.247 Tl
-2.218 5.327 -5.225 Tl
-7.087 2.943 -5.589 Tl
2.652 7.711 -4.861 Tl
0.982 4.137 -0.031 Hg
-3.845 1.774 -0.391 Hg
-4.369 3.355 -3.734 Hg
0.458 5.718 -3.373 Hg
-2.633 5.217 1.046 In
-0.754 2.275 -4.811 In
```

***

Entry 4:
A relaxed Ac7Pt5 crystal. Source: Alexandria via LeMat-Bulk, functional PBE.

Formation energy, eV per atom: -1.01
Symmetry: C2/m (12)

```
Ac7Pt5
1.0
4.231 0.000 0.775
1.768 6.987 2.286
-0.302 0.414 13.579
Pt Ac
5 7
Cartesian
0.000 0.000 0.000 Pt
2.044 4.335 12.712 Pt
0.659 1.576 8.336 Pt
3.653 3.067 3.928 Pt
5.038 5.825 8.304 Pt
1.350 5.002 4.562 Ac
1.901 1.823 1.557 Ac
4.346 2.399 12.077 Ac
2.848 3.701 8.320 Ac
4.492 6.421 11.279 Ac
1.204 0.980 5.361 Ac
3.796 5.578 15.083 Ac
```

***

Entry 5:
A relaxed Ca3Au2 crystal. Source: Alexandria via LeMat-Bulk, functional PBE.

Formation energy, eV per atom: -0.64
Relative energy among the computed polymorphs, meV/atom: 75
Symmetry: R-3c (167)

```
Ca3Au2
1.0
-6.015 2.131 -3.546
-2.203 -3.613 -5.948
-6.452 -4.568 0.685
Au Ca
4 6
Cartesian
-11.815 -5.430 -5.764 Au
-4.480 -2.404 -1.360 Au
-10.190 -3.646 -7.449 Au
-2.855 -0.621 -3.045 Au
-7.253 -3.042 -7.279 Ca
-10.204 -3.227 -4.449 Ca
-7.169 -5.896 -4.347 Ca
-7.417 -3.008 -1.530 Ca
-4.467 -2.823 -4.360 Ca
-7.501 -0.155 -4.462 Ca
```

***

Entry 6:
A relaxed Cs2PuAg2Se4 crystal. Source: Alexandria via LeMat-Bulk, functional PBE.

E_form (uncorrected), kcal/mol of atoms: -22.0
Symmetry: C2/m (12)

```
Cs2PuAg2Se4
1.0
4.347 0.000 0.000
0.000 8.501 0.509
-2.174 -2.910 7.307
Pu Ag Se Cs
1 2 4 2
Cartesian
0.000 0.000 0.000 Pu
0.000 -1.714 4.688 Ag
2.174 7.304 3.128 Ag
2.174 5.188 4.973 Se
2.174 6.574 0.568 Se
0.000 0.403 2.844 Se
0.000 -0.984 7.248 Se
2.174 1.530 5.541 Cs
0.000 4.061 2.276 Cs
```

***

Entry 7:
A relaxed Ag7GeAu3 crystal. Source: Alexandria via LeMat-Bulk, functional PBE.

Formation energy, eV per atom: 0.06
Symmetry: P3m1 (156)

```
Ag7GeAu3
1.0
-3.879 4.897 -3.565
-1.862 -4.105 -3.612
-2.961 1.165 4.821
Ge Ag Au
1 7 3
Cartesian
-4.407 1.696 0.344 Ge
-5.279 -0.445 -1.392 Ag
-2.667 -1.795 -1.204 Ag
-2.850 1.036 -2.000 Ag
-3.219 0.846 3.018 Ag
-3.787 -1.032 -3.820 Ag
-1.731 0.261 0.596 Ag
-4.154 -1.216 1.203 Ag
-5.445 2.358 -2.185 Au
-6.375 0.308 -3.989 Au
-3.966 1.776 -4.593 Au
```

***

Entry 8:
A relaxed Li3PrI6 crystal. Source: Alexandria via LeMat-Bulk, functional PBE.

E_form (uncorrected), kcal/mol of atoms: -27.8
Relative energy among the computed polymorphs, meV/atom: 66
Symmetry: P-1 (2)

```
Li3PrI6
1.0
7.690 0.153 3.872
2.663 7.239 4.019
0.454 0.131 8.686
Li I Pr
3 6 1
Cartesian
5.404 3.761 8.289 Li
4.072 0.142 6.279 Li
5.176 3.696 3.946 Li
3.086 1.801 8.304 I
6.665 2.226 10.584 I
7.722 5.721 8.273 I
4.312 5.522 10.454 I
6.496 2.000 6.124 I
4.142 5.296 5.994 I
0.000 0.000 0.000 Pr
```

***

Number 1: E -1.456 eV/atom, Fermi-level density of states 2.38 states/eV/f.u.. Number 2: E -4.375 eV/atom, Fermi-level density of states 2.18 states/eV/f.u.. Number 3: E -1.725 eV/atom, Fermi-level density of states 3.04 states/eV/f.u.. Number 4: E -5.926 eV/atom, Fermi-level density of states 7.11 states/eV/f.u.. Number 5: E -3.149 eV/atom, Fermi-level density of states 2.37 states/eV/f.u.. Number 6: E -4.919 eV/atom, Fermi-level density of states 10.34 states/eV/f.u.. Number 7: E -3.068 eV/atom, Fermi-level density of states 1.37 states/eV/f.u.. Number 8: E -3.189 eV/atom, Fermi-level density of states 0.00 states/eV/f.u..